No. 1
This record from Alexandria describes a crystal of Li7I3O2 relaxed with PBEsol. The functional is meta-GGA SCAN.

Computed properties:
The total energy is -13.23 eV per atom. For the formation energy from raw total energies, the calculation gives -1613 meV/atom. The density of states at the Fermi level comes out at 0.0 states/eV/f.u.

Cell lengths 4.071, 4.071, 23.381 Å; angles 90.00, 90.00, 90.00 degrees
Space group I4/mmm (No. 139)
One atom of each set of equivalent atoms:
1 Li 0.000 0.000 0.000 [2 per cell]
2 Li 0.000 0.000 0.166 [4 per cell]
3 Li 0.000 0.500 0.089 [8 per cell]
4 I 0.000 0.000 0.314 [4 per cell]
5 I 0.000 0.000 0.500 [2 per cell]
6 O 0.000 0.000 0.087 [4 per cell]

No. 2
This record from Alexandria describes a crystal of LiReI2O relaxed with PBEsol. The functional is meta-GGA SCAN.

Computed properties:
The total energy is -31.06 eV per atom. For the formation energy from raw total energies, the calculation gives -421 meV/atom. The density of states at the Fermi level comes out at 1.6 states/eV/f.u.

Cell lengths 5.563, 5.563, 3.757 Å; angles 90.00, 90.00, 90.00 degrees
Space group P4/mmm (No. 123)
One atom of each set of equivalent atoms:
1 Li 0.000 0.000 0.000 [1 per cell]
2 Re 0.500 0.500 0.500 [1 per cell]
3 I 0.000 0.500 0.500 [2 per cell]
4 O 0.500 0.500 0.000 [1 per cell]

No. 3
This record from Alexandria describes a crystal of LiVI2O8 relaxed with PBEsol. The functional is meta-GGA SCAN.

Computed properties:
The total energy is -13.20 eV per atom. For the formation energy from raw total energies, the calculation gives -1265 meV/atom. The density of states at the Fermi level comes out at 0.0 states/eV/f.u.

Cell lengths 9.779, 5.098, 13.478 Å; angles 90.00, 117.34, 90.00 degrees
Space group P2_1/c (No. 14)
One atom of each set of equivalent atoms:
1 Li 0.237 0.237 0.435 [4 per cell]
2 V 0.268 0.725 0.051 [4 per cell]
3 I 0.076 0.200 0.170 [4 per cell]
4 I 0.415 0.716 0.329 [4 per cell]
5 O 0.074 0.067 0.295 [4 per cell]
6 O 0.113 0.556 0.437 [4 per cell]
7 O 0.153 0.025 0.535 [4 per cell]
8 O 0.197 0.568 0.662 [4 per cell]
9 O 0.297 0.072 0.820 [4 per cell]
10 O 0.359 0.621 0.980 [4 per cell]
11 O 0.395 0.092 0.075 [4 per cell]
12 O 0.430 0.632 0.197 [4 per cell]

No. 4
This record from Alexandria describes a crystal of LiYI2O relaxed with PBEsol. The functional is meta-GGA SCAN.

Computed properties:
The total energy is -23.75 eV per atom. For the formation energy from raw total energies, the calculation gives -1761 meV/atom.

Cell lengths 6.108, 6.108, 4.154 Å; angles 90.00, 90.00, 90.00 degrees
Space group P4/mmm (No. 123)
One atom of each set of equivalent atoms:
1 Li 0.000 0.000 0.000 [1 per cell]
2 Y 0.500 0.500 0.500 [1 per cell]
3 I 0.000 0.500 0.500 [2 per cell]
4 O 0.500 0.500 0.000 [1 per cell]

No. 5
This record from Alexandria describes a crystal of LiOsPd2I relaxed with PBEsol. The functional is meta-GGA SCAN.

Computed properties:
The total energy is -34.11 eV per atom. For the formation energy from raw total energies, the calculation gives 1202 meV/atom. The density of states at the Fermi level comes out at 3.2 states/eV/f.u.

Cell lengths 4.169, 4.169, 4.616 Å; angles 90.00, 90.00, 90.00 degrees
Space group P4/mmm (No. 123)
One atom of each set of equivalent atoms:
1 Li 0.000 0.000 0.000 [1 per cell]
2 Os 0.500 0.500 0.500 [1 per cell]
3 Pd 0.000 0.500 0.000 [2 per cell]
4 I 0.000 0.000 0.500 [1 per cell]

No. 6
This record from Alexandria describes a crystal of Rb2LiOsI relaxed with PBEsol. The functional is meta-GGA SCAN.

Computed properties:
The total energy is -29.74 eV per atom. For the formation energy from raw total energies, the calculation gives 761 meV/atom. The density of states at the Fermi level comes out at 2.4 states/eV/f.u.

Cell lengths 6.727, 6.727, 4.894 Å; angles 90.00, 90.00, 90.00 degrees
Space group P4/mmm (No. 123)
One atom of each set of equivalent atoms:
1 Rb 0.000 0.500 0.000 [2 per cell]
2 Li 0.000 0.000 0.500 [1 per cell]
3 Os 0.500 0.500 0.000 [1 per cell]
4 I 0.500 0.500 0.500 [1 per cell]

No. 7
This record from Alexandria describes a crystal of LiOsSI2 relaxed with PBEsol. The functional is meta-GGA SCAN.

Computed properties:
The total energy is -30.61 eV per atom. For the formation energy from raw total energies, the calculation gives 870 meV/atom. The density of states at the Fermi level comes out at 5.2 states/eV/f.u.

Cell lengths 5.098, 5.098, 4.932 Å; angles 90.00, 90.00, 90.00 degrees
Space group P4/mmm (No. 123)
One atom of each set of equivalent atoms:
1 Li 0.000 0.000 0.000 [1 per cell]
2 Os 0.000 0.000 0.500 [1 per cell]
3 S 0.500 0.500 0.000 [1 per cell]
4 I 0.000 0.500 0.500 [2 per cell]

No. 8
This record from Alexandria describes a crystal of LiSbOsI2 relaxed with PBEsol. The functional is meta-GGA SCAN.

Computed properties:
The total energy is -36.67 eV per atom. For the formation energy from raw total energies, the calculation gives 337 meV/atom. The density of states at the Fermi level comes out at 2.6 states/eV/f.u.

Cell lengths 5.666, 5.666, 4.915 Å; angles 90.00, 90.00, 90.00 degrees
Space group P4/mmm (No. 123)
One atom of each set of equivalent atoms:
1 Li 0.000 0.000 0.000 [1 per cell]
2 Sb 0.500 0.500 0.000 [1 per cell]
3 Os 0.500 0.500 0.500 [1 per cell]
4 I 0.000 0.500 0.500 [2 per cell]

No. 9
This record from Alexandria describes a crystal of LiTe2OsI relaxed with PBEsol. The functional is meta-GGA SCAN.

Computed properties:
The total energy is -35.72 eV per atom. For the formation energy from raw total energies, the calculation gives 1387 meV/atom. The density of states at the Fermi level comes out at 3.4 states/eV/f.u.

Cell lengths 4.745, 4.745, 4.915 Å; angles 90.00, 90.00, 90.00 degrees
Space group P4/mmm (No. 123)
One atom of each set of equivalent atoms:
1 Li 0.000 0.000 0.000 [1 per cell]
2 Te 0.000 0.500 0.000 [2 per cell]
3 Os 0.500 0.500 0.500 [1 per cell]
4 I 0.000 0.000 0.500 [1 per cell]

No. 10
This record from Alexandria describes a crystal of LiTeOsI2 relaxed with PBEsol. The functional is meta-GGA SCAN.

Computed properties:
The total energy is -35.74 eV per atom. For the formation energy from raw total energies, the calculation gives 1256 meV/atom. The density of states at the Fermi level comes out at 4.2 states/eV/f.u.

Cell lengths 4.986, 4.986, 5.187 Å; angles 90.00, 90.00, 90.00 degrees
Space group P4/mmm (No. 123)
One atom of each set of equivalent atoms:
1 Li 0.000 0.000 0.000 [1 per cell]
2 Te 0.000 0.000 0.500 [1 per cell]
3 Os 0.500 0.500 0.500 [1 per cell]
4 I 0.000 0.500 0.000 [2 per cell]

No. 11
This record from Alexandria describes a crystal of Li2PPtI relaxed with PBEsol. The functional is meta-GGA SCAN.

Computed properties:
The total energy is -23.77 eV per atom. For the formation energy from raw total energies, the calculation gives 655 meV/atom. The density of states at the Fermi level comes out at 2.8 states/eV/f.u.

Cell lengths 4.610, 4.610, 5.464 Å; angles 90.00, 90.00, 90.00 degrees
Space group P4/mmm (No. 123)
One atom of each set of equivalent atoms:
1 Li 0.000 0.500 0.000 [2 per cell]
2 P 0.000 0.000 0.500 [1 per cell]
3 Pt 0.500 0.500 0.500 [1 per cell]
4 I 0.000 0.000 0.000 [1 per cell]

No. 12
This record from Alexandria describes a crystal of LiPbI3 relaxed with PBEsol. The functional is meta-GGA SCAN.

Computed properties:
The total energy is -38.25 eV per atom. For the formation energy from raw total energies, the calculation gives -570 meV/atom. The density of states at the Fermi level comes out at 0.0 states/eV/f.u.

Cell lengths 6.199, 6.199, 6.199 Å; angles 90.00, 90.00, 90.00 degrees
Space group Pm-3m (No. 221)
One atom of each set of equivalent atoms:
1 Li 0.000 0.000 0.000 [1 per cell]
2 Pb 0.500 0.500 0.500 [1 per cell]
3 I 0.000 0.500 0.500 [3 per cell]

No. 13
This record from Alexandria describes a crystal of LiSb2PbI relaxed with PBEsol. The functional is meta-GGA SCAN.

Computed properties:
The total energy is -37.49 eV per atom. For the formation energy from raw total energies, the calculation gives 398 meV/atom. The density of states at the Fermi level comes out at 3.2 states/eV/f.u.

Cell lengths 5.745, 5.745, 6.314 Å; angles 90.00, 90.00, 90.00 degrees
Space group P4/mmm (No. 123)
One atom of each set of equivalent atoms:
1 Li 0.000 0.000 0.000 [1 per cell]
2 Sb 0.000 0.500 0.500 [2 per cell]
3 Pb 0.500 0.500 0.500 [1 per cell]
4 I 0.500 0.500 0.000 [1 per cell]